(1)
VASP calculation (GGA-PBE) on crystalline AcTl2Sn6 at its relaxed geometry.

Values from the calculation:
**N(E_F)**: 6.4 states/eV per cell
**Energy**: -3.759 eV per atom
**Total moment**: 0.0000 μB per atom
**Energy of formation from the pure elements**: -108 meV per atom

a = 9.3901 Å, b = 9.3901 Å, c = 3.5090 Å
α = 90.00°, β = 90.00°, γ = 120.00°
Atoms (fractional coordinates):
Ac: 0.0000 0.0000 0.0000
Tl: 0.3333 0.6667 0.0000
Tl: 0.6667 0.3333 0.0000
Sn: 0.0000 0.3383 0.5000
Sn: 0.0000 0.6617 0.5000
Sn: 0.3383 0.0000 0.5000
Sn: 0.3383 0.3383 0.5000
Sn: 0.6617 0.0000 0.5000
Sn: 0.6617 0.6617 0.5000

***

(2)
VASP calculation (GGA-PBE) on crystalline Ac3TlSn4 at its relaxed geometry.

Values from the calculation:
**N(E_F)**: 7.1 states/eV per cell
**Energy**: -4.250 eV per atom
**Total moment**: 0.0000 μB per atom
**Energy of formation from the pure elements**: -412 meV per atom

a = 9.5214 Å, b = 9.5214 Å, c = 9.5214 Å
α = 150.61°, β = 135.41°, γ = 54.30°
Atoms (fractional coordinates):
Ac: 0.0000 0.0000 0.0000
Ac: 0.3142 0.8142 0.5000
Ac: 0.6858 0.1858 0.5000
Tl: 0.5000 0.5000 0.0000
Sn: 0.0723 0.3727 0.6996
Sn: 0.3268 0.6273 0.6996
Sn: 0.6732 0.3727 0.3004
Sn: 0.9277 0.6273 0.3004

***

(3)
VASP calculation (GGA-PBE) on crystalline Ac3Tl4Sn2 at its relaxed geometry.

Values from the calculation:
**N(E_F)**: 4.3 states/eV per cell
**Energy**: -3.736 eV per atom
**Total moment**: 0.0000 μB per atom
**Energy of formation from the pure elements**: -426 meV per atom

a = 8.4574 Å, b = 8.4574 Å, c = 4.7973 Å
α = 90.00°, β = 90.00°, γ = 120.00°
Atoms (fractional coordinates):
Ac: 0.0000 0.3958 0.0000
Ac: 0.3958 0.0000 0.0000
Ac: 0.6042 0.6042 0.0000
Tl: 0.0000 0.0000 0.0000
Tl: 0.0000 0.7375 0.5000
Tl: 0.2625 0.2625 0.5000
Tl: 0.7375 0.0000 0.5000
Sn: 0.3333 0.6667 0.5000
Sn: 0.6667 0.3333 0.5000

***

Repeat the second record exactly.
VASP calculation (GGA-PBE) on crystalline Ac3TlSn4 at its relaxed geometry.

Values from the calculation:
**N(E_F)**: 7.1 states/eV per cell
**Energy**: -4.250 eV per atom
**Total moment**: 0.0000 μB per atom
**Energy of formation from the pure elements**: -412 meV per atom

a = 9.5214 Å, b = 9.5214 Å, c = 9.5214 Å
α = 150.61°, β = 135.41°, γ = 54.30°
Atoms (fractional coordinates):
Ac: 0.0000 0.0000 0.0000
Ac: 0.3142 0.8142 0.5000
Ac: 0.6858 0.1858 0.5000
Tl: 0.5000 0.5000 0.0000
Sn: 0.0723 0.3727 0.6996
Sn: 0.3268 0.6273 0.6996
Sn: 0.6732 0.3727 0.3004
Sn: 0.9277 0.6273 0.3004

***

Which formula does entry 3 have? Ac3Tl4Sn2